{
  "formula": "Ce2PmIn6",
  "functional": "PBE",
  "state": "optimized geometry",
  "cell": [[3.6152, 0.0000, 0.0000], [0.0000, 7.5910, -4.3826], [0.0000, 0.0000, 8.7653]],
  "species": ["Ce", "Ce", "Pm", "In", "In", "In", "In", "In", "In"],
  "fractional_positions": [[0.0000, 0.3333, 0.6667], [0.0000, 0.6667, 0.3333], [0.0000, 0.0000, 0.0000], [0.5000, 0.3330, 0.3330], [0.5000, 0.6670, 0.6670], [0.5000, 0.0000, 0.6670], [0.5000, 0.6670, 0.0000], [0.5000, 0.3330, 0.0000], [0.5000, 0.0000, 0.3330]],
  "n_ef_per_ev_cell": 12.9,
  "density_g_cm3": 7.69,
  "energy_ev_per_atom": -4.068,
  "formation_enthalpy_0k_ev_per_atom": -0.40
}